First-principles (PBE with a Hubbard U) data for an optimized crystal structure of TlVRuO6, as listed in Alexandria via LeMat-Bulk.

abc: 5.1482 5.1482 4.9902
angles: 90.00 90.00 60.00
Each line ends with the local moment (μB).
Atoms (fractional coordinates):
Ru  0.3333  0.3333  0.4999  1.55
O  0.6290  0.9915  0.2850  0.07
O  0.9914  0.6290  0.7150  0.07
O  0.3795  0.9914  0.7150  0.07
O  0.9914  0.3796  0.2850  0.07
O  0.3795  0.6290  0.2850  0.07
O  0.6290  0.3795  0.7150  0.07
Tl  0.0000  0.0000  0.0001  -0.03
V  0.6666  0.6667  0.5002  0.37

Properties
Magnetization ... 2.45 μB per formula unit
D(E_F) ... 2.20 states/eV per cell
Density ... 6.6 g cm⁻³
E ... -6.584 eV per atom


First-principles (PBE with a Hubbard U) data for an optimized crystal structure of TlRuWO6, as listed in Alexandria via LeMat-Bulk.

abc: 5.0785 5.2426 5.1953
angles: 88.09 89.02 58.93
Each line ends with the local moment (μB).
Atoms (fractional coordinates):
O  0.6414  0.3529  0.7016  0.08
O  0.3584  0.6346  0.2934  0.01
O  0.6413  0.0058  0.2984  0.08
O  0.0090  0.3633  0.2528  0.03
O  0.3585  0.0069  0.7065  0.01
O  0.0091  0.6276  0.7472  0.03
W  0.3001  0.3500  0.5000  -0.06
Tl  0.9921  0.0039  0.0000  -0.05
Ru  0.6898  0.6551  0.5000  0.81

Properties
Magnetization ... 1.00 μB per formula unit
D(E_F) ... 1.92 states/eV per cell
Density ... 8.2 g cm⁻³
E ... -6.655 eV per atom


First-principles (PBE with a Hubbard U) data for an optimized crystal structure of TlRu2WO8, as listed in Alexandria via LeMat-Bulk.

abc: 5.5136 5.5136 8.1367
angles: 90.00 90.00 120.00
Each line ends with the local moment (μB).
Atoms (fractional coordinates):
O  0.3182  0.2334  0.3576  0.06
O  0.9152  0.6818  0.3576  0.06
O  0.0848  0.3182  0.6424  0.06
O  0.6818  0.7666  0.6424  0.06
O  0.6667  0.3333  0.0485  0.02
O  0.7666  0.0848  0.3576  0.06
O  0.2334  0.9152  0.6424  0.06
O  0.3333  0.6667  0.9515  0.02
Ru  0.3333  0.6667  0.7378  0.36
Ru  0.6667  0.3333  0.2622  0.36
Tl  0.0000  0.0000  0.0000  0.00
W  0.0000  0.0000  0.5000  -0.14

Properties
Magnetization ... 1.08 μB per formula unit
D(E_F) ... 8.04 states/eV per cell
Density ... 5.6 g cm⁻³
E ... -6.643 eV per atom


First-principles (PBE with a Hubbard U) data for an optimized crystal structure of TlRuWO2, as listed in Alexandria via LeMat-Bulk.

abc: 3.8834 5.3787 3.8834
angles: 90.00 90.00 90.00
Atoms (fractional coordinates):
O  0.5000  0.0000  0.0000
O  0.0000  0.0000  0.5000
Ru  0.0000  0.5000  0.0000
W  0.0000  0.0000  0.0000
Tl  0.5000  0.5000  0.5000

Properties
Magnetization ... 0.00 μB per formula unit
D(E_F) ... 2.57 states/eV per cell
Density ... 10.7 g cm⁻³
E ... -6.344 eV per atom


Q: Number 3 is which compound?
A: TlRu2WO8